{
  "formula": "Mg2NbTe",
  "functional": "PBE",
  "state": "relaxed",
  "lattice_angstrom": [[-4.0488, 4.0488, 2.8113], [4.0488, -4.0488, 2.8113], [4.0488, 4.0488, -2.8113]],
  "species": ["Mg", "Mg", "Mg", "Mg", "Nb", "Nb", "Te", "Te"],
  "frac_coords": [[0.1146, 0.6250, 0.9896], [0.3750, 0.3646, 0.4896], [0.6354, 0.1250, 0.0104], [0.8750, 0.8854, 0.5104], [0.2500, 0.7500, 0.5000], [0.5000, 0.5000, 0.0000], [0.0000, 0.0000, 0.0000], [0.7500, 0.2500, 0.5000]],
  "energy_ev_per_atom": -3.746,
  "dos_at_fermi_per_ev_atom": 0.927
}